Compound: Hg3RuC
Source: Alexandria via LeMat-Bulk
Functional: PBE
Structure: relaxed

Computed properties:
The total energy is -11.71 eV/cell. The theoretical density is 12.85 Mg/m³. As for the space group: Pm-3m. The distance to the lowest polymorph of the same formula comes out at 0 meV/atom.

Cell lengths 4.520, 4.520, 4.520 Å; angles 90.00, 90.00, 90.00 degrees
Positions (direct):
Ru 0.500 0.500 0.500
C 0.000 0.000 0.000
Hg 0.000 0.500 0.000
Hg 0.000 0.000 0.500
Hg 0.500 0.000 0.000

***

Compound: MgBiAs2Se
Source: Alexandria via LeMat-Bulk
Functional: PBE
Structure: relaxed

Computed properties:
The total energy is -16.39 eV/cell. The theoretical density is 6.04 Mg/m³. As for the space group: P4/mmm. The distance to the lowest polymorph of the same formula comes out at 0 meV/atom. As for the uncorrected formation energy: 1.9 eV per formula unit.

Cell lengths 5.005, 5.005, 5.073 Å; angles 90.00, 90.00, 90.00 degrees
Positions (direct):
Mg 0.000 0.000 0.000
As 0.000 0.500 0.000
As 0.500 0.000 0.000
Bi 0.500 0.500 0.500
Se 0.000 0.000 0.500

***

Compound: AcPmPd2
Source: Alexandria via LeMat-Bulk
Functional: PBE
Structure: relaxed

Computed properties:
The total energy is -21.87 eV/cell. The theoretical density is 8.55 Mg/m³. As for the space group: R3m. The distance to the lowest polymorph of the same formula comes out at 149 meV/atom.

Cell lengths 4.223, 4.223, 7.749 Å; angles 74.19, 74.19, 60.00 degrees
Positions (direct):
Ac 0.497 0.497 0.509
Pm 0.670 0.670 0.990
Pd 0.079 0.079 0.763
Pd 0.254 0.254 0.238

***

Compound: Mg2Cd3Ni
Source: Alexandria via LeMat-Bulk
Functional: PBE
Structure: relaxed

Computed properties:
The total energy is -11.90 eV/cell. The theoretical density is 6.20 Mg/m³. As for the space group: Pmm2.

Cell lengths 3.047, 4.655, 8.394 Å; angles 90.00, 90.00, 90.00 degrees
Positions (direct):
Mg 0.000 0.500 0.045
Mg 0.000 0.000 0.473
Cd 0.500 0.000 0.836
Cd 0.500 0.000 0.178
Cd 0.500 0.500 0.640
Ni 0.500 0.500 0.328

***

Compound: LiCd2P2
Source: Alexandria via LeMat-Bulk
Functional: PBE
Structure: relaxed

Computed properties:
The total energy is -28.57 eV/cell. The theoretical density is 5.03 Mg/m³. As for the space group: P4/mbm. The distance to the lowest polymorph of the same formula comes out at 48 meV/atom.

Cell lengths 7.139, 7.139, 3.802 Å; angles 90.00, 90.00, 90.00 degrees
Positions (direct):
P 0.354 0.854 0.000
P 0.854 0.646 0.000
P 0.646 0.146 0.000
P 0.146 0.354 0.000
Li 0.000 0.000 0.000
Li 0.500 0.500 0.000
Cd 0.157 0.657 0.500
Cd 0.657 0.843 0.500
Cd 0.843 0.343 0.500
Cd 0.343 0.157 0.500

***

Compound: ErTmRu2
Source: Alexandria via LeMat-Bulk
Functional: PBE
Structure: relaxed

Computed properties:
The total energy is -29.21 eV/cell. The theoretical density is 11.77 Mg/m³. As for the space group: P4/mmm.

Cell lengths 3.362, 3.362, 6.724 Å; angles 90.00, 90.00, 90.00 degrees
Positions (direct):
Ru 0.000 0.000 0.749
Ru 0.000 0.000 0.251
Tm 0.500 0.500 0.500
Er 0.500 0.500 0.000

***

Compound: BeTePb2C
Source: Alexandria via LeMat-Bulk
Functional: PBE
Structure: relaxed

Computed properties:
The total energy is -16.88 eV/cell. The theoretical density is 6.77 Mg/m³. As for the space group: P4/mmm. As for the uncorrected formation energy: 6.6 eV per formula unit.

Cell lengths 5.380, 4.772, 5.380 Å; angles 90.00, 90.00, 90.00 degrees
Positions (direct):
Pb 0.000 0.000 0.500
Pb 0.500 0.000 0.000
Be 0.500 0.500 0.500
C 0.000 0.000 0.000
Te 0.000 0.500 0.000

***

Compound: Hf2ZnCr
Source: Alexandria via LeMat-Bulk
Functional: PBE
Structure: relaxed

Computed properties:
The total energy is -28.70 eV/cell. The theoretical density is 10.21 Mg/m³. As for the space group: R-3m.

Cell lengths 3.013, 3.013, 9.967 Å; angles 81.31, 81.31, 60.00 degrees
Site moments in Bohr magnetons follow the coordinates.
Positions (direct):
Cr 0.000 0.000 0.000  2.63
Zn 0.500 0.500 0.500  -0.01
Hf 0.088 0.088 0.737  -0.20
Hf 0.912 0.912 0.263  -0.20

***

Compound: TbPuC
Source: Alexandria via LeMat-Bulk
Functional: PBE
Structure: relaxed

Computed properties:
The total energy is -28.40 eV/cell. The theoretical density is 10.44 Mg/m³. As for the space group: P3m1. The distance to the lowest polymorph of the same formula comes out at 0 meV/atom.

Cell lengths 6.314, 3.474, 3.474 Å; angles 120.00, 90.00, 90.00 degrees
Site moments in Bohr magnetons follow the coordinates.
Positions (direct):
C 0.337 0.667 0.333  -0.13
Tb 0.108 0.000 0.000  0.16
Pu 0.555 0.333 0.667  5.09

***

Compound: NaMn2Pt
Source: Alexandria via LeMat-Bulk
Functional: PBE
Structure: relaxed

Computed properties:
The total energy is -47.65 eV/cell. The theoretical density is 6.86 Mg/m³. As for the space group: I-42d. The distance to the lowest polymorph of the same formula comes out at 0 meV/atom.

Cell lengths 7.478, 7.478, 6.002 Å; angles 51.47, 51.47, 90.00 degrees
Site moments in Bohr magnetons follow the coordinates.
Positions (direct):
Na 0.500 0.500 0.000  -0.01
Na 0.250 0.750 0.500  -0.01
Mn 0.670 0.125 0.250  3.96
Mn 0.080 0.625 0.250  3.96
Mn 0.375 0.330 0.750  3.96
Mn 0.875 0.920 0.750  3.96
Pt 0.000 0.000 0.000  0.31
Pt 0.750 0.250 0.500  0.31

***

Compound: LiVCr
Source: Alexandria via LeMat-Bulk
Functional: PBE
Structure: relaxed

Computed properties:
The total energy is -40.35 eV/cell. The theoretical density is 4.51 Mg/m³. As for the space group: P1. The distance to the lowest polymorph of the same formula comes out at 0 meV/atom.

Cell lengths 2.521, 2.521, 13.498 Å; angles 89.27, 89.35, 70.41 degrees
Positions (direct):
Li 0.937 0.029 0.860
Li 0.470 0.574 0.049
V 0.456 0.554 0.395
V 0.963 0.063 0.234
Cr 0.950 0.046 0.548
Cr 0.444 0.538 0.689

***

Compound: Ho6MgPd2
Source: Alexandria via LeMat-Bulk
Functional: PBE
Structure: relaxed

Computed properties:
The total energy is -86.78 eV/cell. The theoretical density is 8.54 Mg/m³. As for the space group: Immm.

Cell lengths 8.545, 8.545, 8.545 Å; angles 104.27, 111.50, 112.77 degrees
Positions (direct):
Ho 0.527 0.712 0.816
Ho 0.473 0.288 0.184
Ho 0.104 0.288 0.816
Ho 0.896 0.712 0.184
Ho 0.803 0.762 0.565
Ho 0.197 0.238 0.435
Ho 0.197 0.762 0.960
Ho 0.803 0.238 0.040
Ho 0.700 0.378 0.678
Ho 0.300 0.622 0.322
Ho 0.300 0.977 0.678
Ho 0.700 0.023 0.322
Mg 0.000 0.500 0.500
Mg 0.000 0.000 0.000
Pd 0.500 0.369 0.869
Pd 0.500 0.631 0.131
Pd 0.661 0.000 0.661
Pd 0.339 0.000 0.339